Computed, not measured: LiCdRu2 after structural relaxation at the PBE level of DFT.

Lattice parameters (Å, degrees): 4.9817 8.8709 2.7925 90.00 90.00 90.00
With the nearest neighbours (Å) after each atom.
Space group Cmmm (No. 65)
Unique sites:
Li 0.0000 0.0000 0.0000 [2 per cell]  2 Cd 2.49
Cd 0.0000 0.5000 0.0000 [2 per cell]  2 Li 2.49
Ru 0.2500 0.2500 0.5000 [4 per cell]  2 Ru 2.49

Its formation energy is 0.373 eV/atom. The value obtained for the total energy is -4.972 eV/atom.